# 1
First-principles (PBE) data for a geometry-optimized Pm3Ge2Au2 structure, as listed in Alexandria. Values from VASP.

```
&SYSTEM
  ibrav = 0, nat = 7, ntyp = 3
/
ATOMIC_SPECIES
Pm 145.00 Pm.upf
Ge 72.64 Ge.upf
Au 196.97 Au.upf
CELL_PARAMETERS angstrom
4.492 0.000 0.000
-2.246 5.253 -1.919
0.000 0.178 7.293
ATOMIC_POSITIONS angstrom
Pm 2.246 1.903 3.984
Pm 2.246 0.000 0.000
Pm 0.000 3.528 1.390
Ge 0.000 0.596 2.353
Ge 2.246 4.835 3.021
Au 2.246 3.432 -0.727
Au 0.000 1.999 6.101
```

## Properties
Magnetic moment = 0.00 μB/atom
Calculated total energy = -35.56 eV for the cell shown
ΔE_f = -0.789 eV/atom
Symmetry = C2/m, No. 12



# 2
First-principles (PBE) data for a geometry-optimized Sm2AgC structure, as listed in Alexandria. Values from VASP.

```
&SYSTEM
  ibrav = 0, nat = 8, ntyp = 3
/
ATOMIC_SPECIES
C 12.01 C.upf
Ag 107.87 Ag.upf
Sm 150.36 Sm.upf
CELL_PARAMETERS angstrom
-0.831 -1.693 3.215
1.308 -5.680 -2.653
6.839 2.716 3.199
ATOMIC_POSITIONS angstrom
C 6.499 0.058 4.952
C 0.817 -4.715 -1.191
Ag 3.684 -3.838 2.173
Ag 3.632 -0.820 1.588
Sm 5.704 -1.983 3.671
Sm 5.367 1.707 3.367
Sm 1.948 -6.365 0.393
Sm 1.611 -2.674 0.089
```

## Properties
Magnetic moment = 0.00 μB/atom
Calculated total energy = -44.29 eV for the cell shown
ΔE_f = -0.158 eV/atom
Symmetry = P2_1/m, No. 11



# 3
First-principles (PBE) data for a geometry-optimized ErZrPS structure, as listed in Alexandria. Values from VASP.

```
&SYSTEM
  ibrav = 0, nat = 4, ntyp = 4
/
ATOMIC_SPECIES
S 32.06 S.upf
Zr 91.22 Zr.upf
Er 167.26 Er.upf
P 30.97 P.upf
CELL_PARAMETERS angstrom
3.729 -0.002 0.001
-1.866 3.233 0.000
-1.862 -1.075 6.644
ATOMIC_POSITIONS angstrom
S 0.354 -0.236 4.191
Zr -1.512 0.842 5.907
Er 2.218 0.841 2.299
P -1.513 2.997 0.690
```

## Properties
Magnetic moment = 0.00 μB/atom
Calculated total energy = -28.97 eV for the cell shown
Raw formation energy = -6.3 eV per formula unit
Symmetry = R3m, No. 160



# 4
First-principles (PBE) data for a geometry-optimized Tc2GeOsRu structure, as listed in Alexandria. Values from VASP.

```
&SYSTEM
  ibrav = 0, nat = 5, ntyp = 4
/
ATOMIC_SPECIES
Tc 98.00 Tc.upf
Ge 72.64 Ge.upf
Ru 101.07 Ru.upf
Os 190.23 Os.upf
CELL_PARAMETERS angstrom
4.747 0.000 0.000
0.000 4.779 0.000
0.000 0.000 4.747
ATOMIC_POSITIONS angstrom
Tc 2.374 0.000 0.000
Tc 0.000 0.000 2.374
Ge 2.374 2.390 2.374
Ru 0.000 0.000 0.000
Os 0.000 2.390 0.000
```

## Properties
Magnetic moment = 0.49 μB/atom
Calculated total energy = -36.30 eV for the cell shown
ΔE_f = 1.912 eV/atom
Symmetry = P4/mmm, No. 123



# 5
First-principles (PBE) data for a geometry-optimized AsHPb2 structure, as listed in Alexandria. Values from VASP.

```
&SYSTEM
  ibrav = 0, nat = 8, ntyp = 3
/
ATOMIC_SPECIES
Pb 207.20 Pb.upf
As 74.92 As.upf
H 1.01 H.upf
CELL_PARAMETERS angstrom
-3.433 4.666 1.177
-4.316 -3.625 1.783
-1.664 0.704 7.202
ATOMIC_POSITIONS angstrom
Pb -4.483 0.642 6.647
Pb -3.804 -1.151 3.152
Pb -7.699 1.715 7.855
Pb -2.839 2.283 2.669
As 0.000 0.000 0.000
As -4.486 2.945 4.929
H -4.927 -1.200 5.232
H -3.874 0.520 1.480
```

## Properties
Magnetic moment = 0.00 μB/atom
Calculated total energy = -28.95 eV for the cell shown
Symmetry = I-42d, No. 122



# 6
First-principles (PBE) data for a geometry-optimized Np2Sb2Pd2Pb structure, as listed in Alexandria. Values from VASP.

```
&SYSTEM
  ibrav = 0, nat = 7, ntyp = 4
/
ATOMIC_SPECIES
Sb 121.76 Sb.upf
Pb 207.20 Pb.upf
Np 237.00 Np.upf
Pd 106.42 Pd.upf
CELL_PARAMETERS angstrom
-4.504 0.049 1.308
-1.308 -2.103 3.983
-0.553 6.935 6.242
ATOMIC_POSITIONS angstrom
Sb -1.646 0.921 2.707
Sb -4.720 3.960 8.826
Pb 0.000 0.000 0.000
Np -5.204 1.295 7.260
Np -1.162 3.586 4.274
Pd -2.958 3.679 6.494
Pd -3.408 1.202 5.039
```

## Properties
Magnetic moment = 1.14 μB/atom
Calculated total energy = -50.04 eV for the cell shown
Raw formation energy = -1.8 eV per formula unit
Symmetry = R-3m, No. 166



# 7
First-principles (PBE) data for a geometry-optimized Pa2AlMo structure, as listed in Alexandria. Values from VASP.

```
&SYSTEM
  ibrav = 0, nat = 4, ntyp = 3
/
ATOMIC_SPECIES
Al 26.98 Al.upf
Pa 231.04 Pa.upf
Mo 95.94 Mo.upf
CELL_PARAMETERS angstrom
-0.736 -2.599 1.533
5.016 0.406 -0.052
0.047 2.939 5.003
ATOMIC_POSITIONS angstrom
Al 0.023 1.469 2.502
Pa 2.595 0.222 1.621
Pa 1.732 0.524 4.865
Mo 0.000 0.000 0.000
```

## Properties
Magnetic moment = 0.00 μB/atom
Calculated total energy = -32.68 eV for the cell shown
ΔE_f = 0.221 eV/atom
Symmetry = C2/m, No. 12



# 8
First-principles (PBE) data for a geometry-optimized BaNa structure, as listed in Alexandria. Values from VASP.

```
&SYSTEM
  ibrav = 0, nat = 16, ntyp = 2
/
ATOMIC_SPECIES
Na 22.99 Na.upf
Ba 137.33 Ba.upf
CELL_PARAMETERS angstrom
-5.449 -5.252 1.419
1.724 -3.505 -6.352
9.661 -8.107 7.095
ATOMIC_POSITIONS angstrom
Na 6.054 -13.260 1.102
Na 1.868 -8.426 1.802
Na -1.296 -7.526 2.905
Na 4.646 -5.297 3.161
Na -0.303 -5.317 -4.879
Na 5.662 -14.687 4.240
Na 1.893 -4.249 -2.415
Na 5.222 -8.692 2.732
Ba 3.110 -11.713 3.982
Ba 4.671 -6.388 -0.615
Ba 7.699 -10.963 4.792
Ba 3.524 -10.882 -0.763
Ba 8.105 -10.114 0.079
Ba -4.022 -5.494 0.910
Ba -0.248 -7.482 -1.369
Ba 0.907 -4.418 1.631
```

## Properties
Magnetic moment = 0.00 μB/atom
Calculated total energy = -25.60 eV for the cell shown
ΔE_f = 0.021 eV/atom
Symmetry = P2_12_12_1, No. 19